An optimized crystal structure of NaPtS, computed with GGA-PBE.

Cell and atoms, written as CIF:
```
data_NaPtS
_cell_length_a 4.0028
_cell_length_b 4.0028
_cell_length_c 4.3984
_cell_angle_alpha 90.00
_cell_angle_beta 90.00
_cell_angle_gamma 120.00
_symmetry_space_group_name_H-M 'P 1'
_symmetry_Int_Tables_number 1
loop_
_symmetry_equiv_pos_as_xyz
'x,y,z'
loop_
_atom_site_label
_atom_site_type_symbol
_atom_site_fract_x
_atom_site_fract_y
_atom_site_fract_z
Na1 Na 0.0000 0.0000 0.0000
Pt1 Pt 0.6667 0.3333 0.5000
S1 S 0.3333 0.6667 0.5000
```

Values from the calculation:
D(E_F) = 1.25 states/eV per cell
VASP energy = -13.1 eV per cell



An optimized crystal structure of Li4AlCd2, computed with GGA-PBE.

Cell and atoms, written as CIF:
```
data_Li4AlCd2
_cell_length_a 7.3897
_cell_length_b 7.3897
_cell_length_c 7.3897
_cell_angle_alpha 36.37
_cell_angle_beta 36.37
_cell_angle_gamma 36.37
_symmetry_space_group_name_H-M 'P 1'
_symmetry_Int_Tables_number 1
loop_
_symmetry_equiv_pos_as_xyz
'x,y,z'
loop_
_atom_site_label
_atom_site_type_symbol
_atom_site_fract_x
_atom_site_fract_y
_atom_site_fract_z
Li1 Li 0.0820 0.0820 0.0820
Li2 Li 0.3634 0.3634 0.3634
Li3 Li 0.6366 0.6366 0.6366
Li4 Li 0.9180 0.9180 0.9180
Al1 Al 0.5000 0.5000 0.5000
Cd1 Cd 0.2256 0.2256 0.2256
Cd2 Cd 0.7744 0.7744 0.7744
```

Values from the calculation:
D(E_F) = 3.14 states/eV per cell
DFT formation energy = -16.3 kJ/mol of atoms



An optimized crystal structure of Bi4P, computed with GGA-PBE.

Cell and atoms, written as CIF:
```
data_Bi4P
_cell_length_a 5.4591
_cell_length_b 5.4591
_cell_length_c 5.4591
_cell_angle_alpha 90.00
_cell_angle_beta 90.00
_cell_angle_gamma 90.00
_symmetry_space_group_name_H-M 'P 1'
_symmetry_Int_Tables_number 1
loop_
_symmetry_equiv_pos_as_xyz
'x,y,z'
loop_
_atom_site_label
_atom_site_type_symbol
_atom_site_fract_x
_atom_site_fract_y
_atom_site_fract_z
Bi1 Bi 0.0000 0.0000 0.0000
Bi2 Bi 0.0000 0.5000 0.5000
Bi3 Bi 0.5000 0.0000 0.5000
Bi4 Bi 0.5000 0.5000 0.0000
P1 P 0.5000 0.5000 0.5000
```

Values from the calculation:
D(E_F) = 6.18 states/eV per cell
DFT formation energy = 44.3 kJ/mol of atoms



An optimized crystal structure of KTlAgW2, computed with GGA-PBE.

Cell and atoms, written as CIF:
```
data_KTlAgW2
_cell_length_a 5.0522
_cell_length_b 5.0522
_cell_length_c 5.7774
_cell_angle_alpha 90.00
_cell_angle_beta 90.00
_cell_angle_gamma 90.00
_symmetry_space_group_name_H-M 'P 1'
_symmetry_Int_Tables_number 1
loop_
_symmetry_equiv_pos_as_xyz
'x,y,z'
loop_
_atom_site_label
_atom_site_type_symbol
_atom_site_fract_x
_atom_site_fract_y
_atom_site_fract_z
K1 K 0.0000 0.0000 0.0000
Tl1 Tl 0.5000 0.5000 0.0000
Ag1 Ag 0.0000 0.0000 0.5000
W1 W 0.0000 0.5000 0.5000
W2 W 0.5000 0.0000 0.5000
```

Values from the calculation:
D(E_F) = 7.05 states/eV per cell
DFT formation energy = 219.4 kJ/mol of atoms



An optimized crystal structure of CaEuBi2, computed with GGA-PBE.

Cell and atoms, written as CIF:
```
data_CaEuBi2
_cell_length_a 5.6832
_cell_length_b 5.6832
_cell_length_c 5.6832
_cell_angle_alpha 60.00
_cell_angle_beta 60.00
_cell_angle_gamma 60.00
_symmetry_space_group_name_H-M 'P 1'
_symmetry_Int_Tables_number 1
loop_
_symmetry_equiv_pos_as_xyz
'x,y,z'
loop_
_atom_site_label
_atom_site_type_symbol
_atom_site_fract_x
_atom_site_fract_y
_atom_site_fract_z
Ca1 Ca 0.0000 0.0000 0.0000
Eu1 Eu 0.5000 0.5000 0.5000
Bi1 Bi 0.2500 0.2500 0.2500
Bi2 Bi 0.7500 0.7500 0.7500
```

Values from the calculation:
D(E_F) = 7.97 states/eV per cell
distance to the lowest polymorph of the same formula = 30 meV/atom
DFT formation energy = -68.4 kJ/mol of atoms



An optimized crystal structure of TmPuSnRu, computed with GGA-PBE.

Cell and atoms, written as CIF:
```
data_TmPuSnRu
_cell_length_a 5.0426
_cell_length_b 5.0426
_cell_length_c 5.0426
_cell_angle_alpha 60.00
_cell_angle_beta 60.00
_cell_angle_gamma 60.00
_symmetry_space_group_name_H-M 'P 1'
_symmetry_Int_Tables_number 1
loop_
_symmetry_equiv_pos_as_xyz
'x,y,z'
loop_
_atom_site_label
_atom_site_type_symbol
_atom_site_fract_x
_atom_site_fract_y
_atom_site_fract_z
Tm1 Tm 0.0000 0.0000 0.0000
Pu1 Pu 0.5000 0.5000 0.5000
Sn1 Sn 0.2500 0.2500 0.2500
Ru1 Ru 0.7500 0.7500 0.7500
```

Values from the calculation:
D(E_F) = 7.00 states/eV per cell
DFT formation energy = -20.4 kJ/mol of atoms



An optimized crystal structure of LiHg2Ru, computed with GGA-PBE.

Cell and atoms, written as CIF:
```
data_LiHg2Ru
_cell_length_a 4.6084
_cell_length_b 4.6084
_cell_length_c 3.2475
_cell_angle_alpha 90.00
_cell_angle_beta 90.00
_cell_angle_gamma 90.20
_symmetry_space_group_name_H-M 'P 1'
_symmetry_Int_Tables_number 1
loop_
_symmetry_equiv_pos_as_xyz
'x,y,z'
loop_
_atom_site_label
_atom_site_type_symbol
_atom_site_fract_x
_atom_site_fract_y
_atom_site_fract_z
Li1 Li 0.0000 0.0000 0.0000
Hg1 Hg 0.0000 0.5000 0.5000
Hg2 Hg 0.5000 0.0000 0.5000
Ru1 Ru 0.5000 0.5000 0.0000
```

Values from the calculation:
D(E_F) = 2.25 states/eV per cell
distance to the lowest polymorph of the same formula = 0 meV/atom
DFT formation energy = 5.7 kJ/mol of atoms



An optimized crystal structure of HfZrNbV, computed with GGA-PBE.

Cell and atoms, written as CIF:
```
data_HfZrNbV
_cell_length_a 4.8014
_cell_length_b 4.8014
_cell_length_c 4.8014
_cell_angle_alpha 60.00
_cell_angle_beta 60.00
_cell_angle_gamma 60.00
_symmetry_space_group_name_H-M 'P 1'
_symmetry_Int_Tables_number 1
loop_
_symmetry_equiv_pos_as_xyz
'x,y,z'
loop_
_atom_site_label
_atom_site_type_symbol
_atom_site_fract_x
_atom_site_fract_y
_atom_site_fract_z
Hf1 Hf 0.0000 0.0000 0.0000
Zr1 Zr 0.5000 0.5000 0.5000
Nb1 Nb 0.2500 0.2500 0.2500
V1 V 0.7500 0.7500 0.7500
```

Values from the calculation:
D(E_F) = 6.12 states/eV per cell
DFT formation energy = 13.5 kJ/mol of atoms



An optimized crystal structure of TbPmGd2, computed with GGA-PBE.

Cell and atoms, written as CIF:
```
data_TbPmGd2
_cell_length_a 3.5935
_cell_length_b 3.5935
_cell_length_c 10.1562
_cell_angle_alpha 90.00
_cell_angle_beta 90.00
_cell_angle_gamma 90.00
_symmetry_space_group_name_H-M 'P 1'
_symmetry_Int_Tables_number 1
loop_
_symmetry_equiv_pos_as_xyz
'x,y,z'
loop_
_atom_site_label
_atom_site_type_symbol
_atom_site_fract_x
_atom_site_fract_y
_atom_site_fract_z
Tb1 Tb 0.0000 0.0000 0.0000
Pm1 Pm 0.0000 0.0000 0.5000
Gd1 Gd 0.5000 0.5000 0.2472
Gd2 Gd 0.5000 0.5000 0.7528
```

Values from the calculation:
D(E_F) = 7.14 states/eV per cell
distance to the lowest polymorph of the same formula = 3 meV/atom
DFT formation energy = 2.2 kJ/mol of atoms



An optimized crystal structure of Tl3H2PdF6, computed with GGA-PBE.

Cell and atoms, written as CIF:
```
data_Tl3H2PdF6
_cell_length_a 5.8261
_cell_length_b 5.8261
_cell_length_c 6.7589
_cell_angle_alpha 90.00
_cell_angle_beta 90.00
_cell_angle_gamma 120.00
_symmetry_space_group_name_H-M 'P 1'
_symmetry_Int_Tables_number 1
loop_
_symmetry_equiv_pos_as_xyz
'x,y,z'
loop_
_atom_site_label
_atom_site_type_symbol
_atom_site_fract_x
_atom_site_fract_y
_atom_site_fract_z
Tl1 Tl 0.0000 0.0000 0.0000
Tl2 Tl 0.3333 0.6667 0.6881
Tl3 Tl 0.6667 0.3333 0.3119
H1 H 0.3333 0.6667 0.2823
H2 H 0.6667 0.3333 0.7177
Pd1 Pd 0.0000 0.0000 0.5000
F1 F 0.1967 0.3935 0.2881
F2 F 0.1967 0.8033 0.2881
F3 F 0.3935 0.1967 0.7119
F4 F 0.6065 0.8033 0.2881
F5 F 0.8033 0.1967 0.7119
F6 F 0.8033 0.6065 0.7119
```

Values from the calculation:
D(E_F) = 4.01 states/eV per cell
VASP energy = -45.9 eV per cell



An optimized crystal structure of Tb2Fe2Ni15, computed with GGA-PBE.

Cell and atoms, written as CIF:
```
data_Tb2Fe2Ni15
_cell_length_a 6.2747
_cell_length_b 6.2747
_cell_length_c 6.2747
_cell_angle_alpha 82.76
_cell_angle_beta 82.76
_cell_angle_gamma 82.76
_symmetry_space_group_name_H-M 'P 1'
_symmetry_Int_Tables_number 1
loop_
_symmetry_equiv_pos_as_xyz
'x,y,z'
loop_
_atom_site_label
_atom_site_type_symbol
_atom_site_fract_x
_atom_site_fract_y
_atom_site_fract_z
Tb1 Tb 0.1573 0.1573 0.1573
Tb2 Tb 0.8427 0.8427 0.8427
Fe1 Fe 0.4056 0.4056 0.4056
Fe2 Fe 0.5944 0.5944 0.5944
Ni1 Ni 0.0000 0.5000 0.5000
Ni2 Ni 0.1563 0.1563 0.6529
Ni3 Ni 0.1563 0.6529 0.1563
Ni4 Ni 0.2038 0.5000 0.7962
Ni5 Ni 0.2038 0.7962 0.5000
Ni6 Ni 0.3471 0.8437 0.8437
Ni7 Ni 0.5000 0.0000 0.5000
Ni8 Ni 0.5000 0.2038 0.7962
Ni9 Ni 0.5000 0.5000 0.0000
Ni10 Ni 0.5000 0.7962 0.2038
Ni11 Ni 0.6529 0.1563 0.1563
Ni12 Ni 0.7962 0.2038 0.5000
Ni13 Ni 0.7962 0.5000 0.2038
Ni14 Ni 0.8437 0.3471 0.8437
Ni15 Ni 0.8437 0.8437 0.3471
```

Values from the calculation:
D(E_F) = 19.92 states/eV per cell
DFT formation energy = -20.2 kJ/mol of atoms



An optimized crystal structure of SrTlIrO6, computed with GGA-PBE.

Cell and atoms, written as CIF:
```
data_SrTlIrO6
_cell_length_a 5.6734
_cell_length_b 5.6734
_cell_length_c 10.1716
_cell_angle_alpha 90.00
_cell_angle_beta 90.00
_cell_angle_gamma 120.00
_symmetry_space_group_name_H-M 'P 1'
_symmetry_Int_Tables_number 1
loop_
_symmetry_equiv_pos_as_xyz
'x,y,z'
loop_
_atom_site_label
_atom_site_type_symbol
_atom_site_fract_x
_atom_site_fract_y
_atom_site_fract_z
Sr1 Sr 0.0000 0.0000 0.0000
Sr2 Sr 0.0000 0.0000 0.5000
Tl1 Tl 0.3333 0.6667 0.2500
Tl2 Tl 0.6667 0.3333 0.7500
Ir1 Ir 0.3333 0.6667 0.7500
Ir2 Ir 0.6667 0.3333 0.2500
O1 O 0.0531 0.3916 0.6435
O2 O 0.0531 0.6615 0.8565
O3 O 0.3385 0.3916 0.8565
O4 O 0.3385 0.9469 0.6435
O5 O 0.3916 0.0531 0.1435
O6 O 0.3916 0.3385 0.3565
O7 O 0.6084 0.6615 0.6435
O8 O 0.6084 0.9469 0.8565
O9 O 0.6615 0.0531 0.3565
O10 O 0.6615 0.6084 0.1435
O11 O 0.9469 0.3385 0.1435
O12 O 0.9469 0.6084 0.3565
```

Values from the calculation:
D(E_F) = 8.50 states/eV per cell
VASP energy = -105.2 eV per cell